No. 1
Here is a relaxed K2AgAuBr6 crystal from the Alexandria database. Energies are from PBE.

E_form (uncorrected) ... -0.85 eV/atom
DFT total energy ... -2.68 eV per atom
Size of the total moment ... 0.0 μB per cell

```
data_K2AgAuBr6
_chemical_formula_sum 'K4 Ag2 Au2 Br12'
_space_group_name_H-M_alt 'P 1 21/c 1'
_space_group_IT_number 14
_cell_length_a 8.7864
_cell_length_b 7.2197
_cell_length_c 12.6713
_cell_angle_alpha 90.00
_cell_angle_beta 122.59
_cell_angle_gamma 90.00
loop_
_space_group_symop_operation_xyz
'x,y,z'
'-x,-y,-z'
'-x,y+1/2,-z+1/2'
'x,-y+1/2,z+1/2'
loop_
_atom_site_label
_atom_site_type_symbol
_atom_site_fract_x
_atom_site_fract_y
_atom_site_fract_z
K1 K 0.2434 0.0238 0.2664
Ag1 Ag 0.5000 0.0000 0.0000
Au1 Au 0.0000 0.0000 0.5000
Br1 Br 0.1520 0.5008 0.2337
Br2 Br 0.1733 0.7166 0.5115
Br3 Br 0.3775 0.2272 0.5536
```

=====

No. 2
Here is a relaxed ErTh2Sb3 crystal from the Alexandria database. Energies are from PBE.

E_form (uncorrected) ... -0.96 eV/atom
DFT total energy ... -6.26 eV per atom
Size of the total moment ... 0.0 μB per cell

```
data_ErTh2Sb3
_chemical_formula_sum 'Er16 Th32 Sb48'
_space_group_name_H-M_alt 'F d d d'
_space_group_IT_number 70
_cell_length_a 8.9063
_cell_length_b 12.6112
_cell_length_c 26.7369
_cell_angle_alpha 90.00
_cell_angle_beta 90.00
_cell_angle_gamma 90.00
loop_
_space_group_symop_operation_xyz
'x,y,z'
'-x,-y,-z'
'-x+1/4,-y+1/4,z'
'x+1/4,y+1/4,-z'
'x,-y+1/4,-z+1/4'
'-x,y+1/4,z+1/4'
'-x+1/4,y,-z+1/4'
'x+1/4,-y,z+1/4'
'x,y+1/2,z+1/2'
'-x,-y+1/2,-z+1/2'
'-x+1/4,-y+3/4,z+1/2'
'x+1/4,y+3/4,-z+1/2'
'x,-y+3/4,-z+3/4'
'-x,y+3/4,z+3/4'
'-x+1/4,y+1/2,-z+3/4'
'x+1/4,-y+1/2,z+3/4'
'x+1/2,y,z+1/2'
'-x+1/2,-y,-z+1/2'
'-x+3/4,-y+1/4,z+1/2'
'x+3/4,y+1/4,-z+1/2'
'x+1/2,-y+1/4,-z+3/4'
'-x+1/2,y+1/4,z+3/4'
'-x+3/4,y,-z+3/4'
'x+3/4,-y,z+3/4'
'x+1/2,y+1/2,z'
'-x+1/2,-y+1/2,-z'
'-x+3/4,-y+3/4,z'
'x+3/4,y+3/4,-z'
'x+1/2,-y+3/4,-z+1/4'
'-x+1/2,y+3/4,z+1/4'
'-x+3/4,y+1/2,-z+1/4'
'x+3/4,-y+1/2,z+1/4'
loop_
_atom_site_label
_atom_site_type_symbol
_atom_site_fract_x
_atom_site_fract_y
_atom_site_fract_z
Er1 Er 0.1250 0.1250 0.0415
Th1 Th 0.1250 0.1250 0.3762
Th2 Th 0.1250 0.1250 0.5427
Sb1 Sb 0.1150 0.3750 0.3750
Sb2 Sb 0.1202 0.3709 0.2100
```

=====

No. 3
Here is a relaxed Tb4Ho2Th crystal from the Alexandria database. Energies are from PBE.

DFT total energy ... -4.99 eV per atom
Size of the total moment ... 0.0 μB per cell
Distance to the lowest polymorph of the same formula ... 0.0 meV per atom

```
data_Tb4Ho2Th
_chemical_formula_sum 'Tb12 Ho6 Th3'
_space_group_name_H-M_alt 'R -3 m'
_space_group_IT_number 166
_space_group_name_Hall '-R 3 2"'
_cell_length_a 3.5623
_cell_length_b 3.5623
_cell_length_c 60.6335
_cell_angle_alpha 90.00
_cell_angle_beta 90.00
_cell_angle_gamma 120.00
loop_
_atom_site_label
_atom_site_type_symbol
_atom_site_fract_x
_atom_site_fract_y
_atom_site_fract_z
Tb1 Tb 0.0000 0.0000 0.1427
Tb2 Tb 0.0000 0.0000 0.2864
Ho1 Ho 0.0000 0.0000 0.4288
Th1 Th 0.0000 0.0000 0.0000
```

=====

No. 4
Here is a relaxed LiCuSn2 crystal from the Alexandria database. Energies are from PBE.

DFT total energy ... -3.57 eV per atom
Size of the total moment ... 0.0 μB per cell
Distance to the lowest polymorph of the same formula ... 64.1 meV per atom

```
data_LiCuSn2
_chemical_formula_sum 'Li4 Cu4 Sn8'
_space_group_name_H-M_alt 'F m -3 m'
_space_group_IT_number 225
_space_group_name_Hall '-F 4 2 3'
_cell_length_a 6.7973
_cell_length_b 6.7973
_cell_length_c 6.7973
_cell_angle_alpha 90.00
_cell_angle_beta 90.00
_cell_angle_gamma 90.00
loop_
_atom_site_label
_atom_site_type_symbol
_atom_site_fract_x
_atom_site_fract_y
_atom_site_fract_z
Li1 Li 0.0000 0.0000 0.0000
Cu1 Cu 0.0000 0.0000 0.5000
Sn1 Sn 0.2500 0.2500 0.2500
```

=====

No. 5
Here is a relaxed Hf2SiBr crystal from the Alexandria database. Energies are from PBE.

E_form (uncorrected) ... -0.24 eV/atom
DFT total energy ... -7.00 eV per atom
Size of the total moment ... 0.0 μB per cell
Distance to the lowest polymorph of the same formula ... 0.0 meV per atom

```
data_Hf2SiBr
_chemical_formula_sum 'Hf8 Si4 Br4'
_space_group_name_H-M_alt 'F m -3 m'
_space_group_IT_number 225
_space_group_name_Hall '-F 4 2 3'
_cell_length_a 6.7088
_cell_length_b 6.7088
_cell_length_c 6.7088
_cell_angle_alpha 90.00
_cell_angle_beta 90.00
_cell_angle_gamma 90.00
loop_
_atom_site_label
_atom_site_type_symbol
_atom_site_fract_x
_atom_site_fract_y
_atom_site_fract_z
Hf1 Hf 0.2500 0.2500 0.2500
Si1 Si 0.0000 0.0000 0.0000
Br1 Br 0.0000 0.0000 0.5000
```

=====

No. 6
Here is a relaxed ZnAs2Pd crystal from the Alexandria database. Energies are from PBE.

DFT total energy ... -3.99 eV per atom
Size of the total moment ... 0.0 μB per cell

```
data_ZnAs2Pd
_chemical_formula_sum 'Zn4 As8 Pd4'
_space_group_name_H-M_alt 'I -4 2 d'
_space_group_IT_number 122
_space_group_name_Hall 'I -4 2bw'
_cell_length_a 4.2902
_cell_length_b 4.2902
_cell_length_c 16.2665
_cell_angle_alpha 90.00
_cell_angle_beta 90.00
_cell_angle_gamma 90.00
loop_
_atom_site_label
_atom_site_type_symbol
_atom_site_fract_x
_atom_site_fract_y
_atom_site_fract_z
Zn1 Zn 0.0000 0.0000 0.0000
As1 As 0.2322 0.2500 0.6250
Pd1 Pd 0.0000 0.0000 0.5000
```

=====

No. 7
Here is a relaxed Re3HgPt crystal from the Alexandria database. Energies are from PBE.

DFT total energy ... -6.30 eV per atom
Size of the total moment ... 1.9 μB per cell
Distance to the lowest polymorph of the same formula ... 0.0 meV per atom

```
data_Re3HgPt
_chemical_formula_sum 'Re3 Hg1 Pt1'
_space_group_name_H-M_alt 'P m -3 m'
_space_group_IT_number 221
_space_group_name_Hall '-P 4 2 3'
_cell_length_a 4.7833
_cell_length_b 4.7833
_cell_length_c 4.7833
_cell_angle_alpha 90.00
_cell_angle_beta 90.00
_cell_angle_gamma 90.00
loop_
_atom_site_label
_atom_site_type_symbol
_atom_site_fract_x
_atom_site_fract_y
_atom_site_fract_z
Re1 Re 0.0000 0.0000 0.5000
Hg1 Hg 0.5000 0.5000 0.5000
Pt1 Pt 0.0000 0.0000 0.0000
```

=====

No. 8
Here is a relaxed Dy7Al2Ni2 crystal from the Alexandria database. Energies are from PBE.

DFT total energy ... -4.84 eV per atom
Size of the total moment ... 0.0 μB per cell

```
data_Dy7Al2Ni2
_chemical_formula_sum 'Dy14 Al4 Ni4'
_space_group_name_H-M_alt 'C m m m'
_space_group_IT_number 65
_space_group_name_Hall '-C 2 2'
_cell_length_a 7.7678
_cell_length_b 10.9256
_cell_length_c 6.8300
_cell_angle_alpha 90.00
_cell_angle_beta 90.00
_cell_angle_gamma 90.00
loop_
_atom_site_label
_atom_site_type_symbol
_atom_site_fract_x
_atom_site_fract_y
_atom_site_fract_z
Dy1 Dy 0.0000 0.0000 0.0000
Dy2 Dy 0.0000 0.5000 0.2469
Dy3 Dy 0.2500 0.2500 0.2529
Al1 Al 0.1665 0.0000 0.5000
Ni1 Ni 0.0000 0.2951 0.0000
```